one | A geometry-optimized Tb4Dy5Mg2 structure, computed with GGA-PBE.

Unit cell a=3.476 b=8.641 c=11.464 alpha=95.77 beta=90.03 gamma=101.54
Atoms (fractional coordinates):
Tb 0.039 0.079 0.286
Tb 0.366 0.730 0.187
Tb 0.634 0.270 0.813
Tb 0.961 0.921 0.714
Dy 0.178 0.356 0.077
Dy 0.261 0.526 0.645
Dy 0.500 0.000 0.000
Dy 0.739 0.474 0.355
Dy 0.822 0.644 0.923
Mg 0.415 0.818 0.460
Mg 0.585 0.182 0.540

Calculated values
Total magnetic moment = 0.00 Bohr magnetons per cell
SG = P-1, No. 2
Calculated density = 7.4 g/cm3


two | A geometry-optimized Tb4Dy5Mg2 structure, computed with GGA-PBE.

Unit cell a=12.411 b=12.411 c=12.411 alpha=164.19 beta=138.36 gamma=44.81
Atoms (fractional coordinates):
Tb 0.181 0.500 0.681
Tb 0.233 0.233 0.000
Tb 0.767 0.767 0.000
Tb 0.819 0.500 0.319
Dy 0.163 0.360 0.803
Dy 0.442 0.640 0.803
Dy 0.500 0.000 0.500
Dy 0.558 0.360 0.197
Dy 0.837 0.640 0.197
Mg 0.099 0.099 0.000
Mg 0.901 0.901 0.000

Calculated values
Total magnetic moment = 0.00 Bohr magnetons per cell
SG = Immm, No. 71
Calculated density = 7.2 g/cm3


Stability summary - winner: one; margin: 204 meV/atom.


one | A geometry-optimized TbDyMg structure, computed with GGA-PBE.

Unit cell a=3.426 b=5.398 c=9.489 alpha=90.00 beta=90.03 gamma=90.00
Atoms (fractional coordinates):
Tb 0.002 0.000 0.084
Tb 0.998 0.500 0.916
Dy 0.500 0.000 0.744
Dy 0.500 0.500 0.256
Mg 0.001 0.502 0.580
Mg 0.999 0.002 0.420

Calculated values
Total magnetic moment = 0.00 Bohr magnetons per cell
SG = P2_1, No. 4
Calculated density = 6.5 g/cm3


two | A geometry-optimized TbDyMg structure, computed with GGA-PBE.

Unit cell a=6.985 b=6.985 c=6.985 alpha=149.62 beta=149.62 gamma=43.49
Atoms (fractional coordinates):
Tb 0.000 0.000 0.000
Dy 0.319 0.319 0.000
Mg 0.660 0.660 0.000

Calculated values
Total magnetic moment = 0.00 Bohr magnetons per cell
SG = I4mm, No. 107
Calculated density = 6.6 g/cm3


three | A geometry-optimized TbDyMg structure, computed with GGA-PBE.

Unit cell a=5.441 b=5.441 c=3.381 alpha=90.00 beta=90.00 gamma=120.00
Atoms (fractional coordinates):
Tb 0.000 0.000 0.000
Dy 0.667 0.333 0.430
Mg 0.333 0.667 0.709

Calculated values
Total magnetic moment = 0.00 Bohr magnetons per cell
SG = P3m1, No. 156
Calculated density = 6.6 g/cm3


Stability summary - winner: two; margin: 54 meV/atom.


one | A geometry-optimized TbDyMg structure, computed with GGA-PBE.

Unit cell a=3.437 b=5.364 c=5.391 alpha=90.00 beta=90.00 gamma=90.00
Atoms (fractional coordinates):
Tb 0.000 0.000 0.000
Dy 0.000 0.500 0.500
Mg 0.500 0.000 0.500

Calculated values
Total magnetic moment = 0.00 Bohr magnetons per cell
SG = Pmmm, No. 47
Calculated density = 5.8 g/cm3


two | A geometry-optimized TbDyMg structure, computed with GGA-PBE.

Unit cell a=4.604 b=4.604 c=4.604 alpha=76.80 beta=76.80 gamma=76.80
Atoms (fractional coordinates):
Tb 0.000 0.000 0.000
Dy 0.370 0.370 0.370
Mg 0.685 0.685 0.685

Calculated values
Total magnetic moment = 0.00 Bohr magnetons per cell
SG = R3m, No. 160
Calculated density = 6.3 g/cm3


Stability summary - winner: two; margin: 42 meV/atom.


one | A geometry-optimized Tb7Dy2Mg2 structure, computed with GGA-PBE.

Unit cell a=5.003 b=7.738 c=9.274 alpha=103.46 beta=105.54 gamma=90.02
Atoms (fractional coordinates):
Tb 0.000 0.000 0.000
Tb 0.093 0.457 0.187
Tb 0.274 0.362 0.547
Tb 0.362 0.819 0.723
Tb 0.638 0.181 0.277
Tb 0.726 0.638 0.453
Tb 0.907 0.543 0.813
Dy 0.460 0.275 0.918
Dy 0.540 0.725 0.082
Mg 0.182 0.912 0.365
Mg 0.818 0.088 0.635

Calculated values
Total magnetic moment = 0.00 Bohr magnetons per cell
SG = P-1, No. 2
Calculated density = 7.4 g/cm3


two | A geometry-optimized Tb7Dy2Mg2 structure, computed with GGA-PBE.

Unit cell a=8.073 b=8.073 c=5.697 alpha=105.62 beta=105.62 gamma=86.87
Atoms (fractional coordinates):
Tb 0.000 0.000 0.000
Tb 0.017 0.601 0.816
Tb 0.226 0.226 0.664
Tb 0.399 0.983 0.184
Tb 0.601 0.017 0.816
Tb 0.774 0.774 0.336
Tb 0.983 0.399 0.184
Dy 0.221 0.779 0.500
Dy 0.779 0.221 0.500
Mg 0.438 0.438 0.217
Mg 0.562 0.562 0.783

Calculated values
Total magnetic moment = 0.00 Bohr magnetons per cell
SG = C2/m, No. 12
Calculated density = 7.2 g/cm3


Stability summary - winner: one; margin: 146 meV/atom.


one | A geometry-optimized Tb6DyMg structure, computed with GGA-PBE.

Unit cell a=6.350 b=6.351 c=6.358 alpha=95.85 beta=95.74 gamma=95.90
Atoms (fractional coordinates):
Tb 0.015 0.245 0.455
Tb 0.255 0.044 0.986
Tb 0.456 0.514 0.746
Tb 0.544 0.486 0.254
Tb 0.745 0.956 0.014
Tb 0.985 0.755 0.545
Dy 0.000 0.500 0.000
Mg 0.500 0.000 0.500

Calculated values
Total magnetic moment = 0.00 Bohr magnetons per cell
SG = P-1, No. 2
Calculated density = 7.5 g/cm3


two | A geometry-optimized Tb6DyMg structure, computed with GGA-PBE.

Unit cell a=6.081 b=6.081 c=9.943 alpha=114.11 beta=114.11 gamma=48.61
Atoms (fractional coordinates):
Tb 0.002 0.002 0.250
Tb 0.250 0.250 0.627
Tb 0.255 0.255 0.124
Tb 0.745 0.745 0.876
Tb 0.750 0.750 0.373
Tb 0.998 0.998 0.750
Dy 0.500 0.500 0.500
Mg 0.500 0.500 0.000

Calculated values
Total magnetic moment = 0.00 Bohr magnetons per cell
SG = C2/m, No. 12
Calculated density = 7.7 g/cm3


Stability summary - winner: two; margin: 107 meV/atom.


one | A geometry-optimized Tb3Dy3Mg structure, computed with GGA-PBE.

Unit cell a=14.358 b=14.358 c=14.358 alpha=24.70 beta=24.70 gamma=24.70
Atoms (fractional coordinates):
Tb 0.064 0.400 0.729
Tb 0.271 0.936 0.600
Tb 0.400 0.729 0.064
Tb 0.600 0.271 0.936
Tb 0.729 0.064 0.400
Tb 0.936 0.600 0.271
Dy 0.132 0.799 0.465
Dy 0.201 0.535 0.868
Dy 0.465 0.132 0.799
Dy 0.535 0.868 0.201
Dy 0.799 0.465 0.132
Dy 0.868 0.201 0.535
Mg 0.333 0.333 0.333
Mg 0.667 0.667 0.667

Calculated values
Total magnetic moment = 0.00 Bohr magnetons per cell
SG = R-3, No. 148
Calculated density = 7.2 g/cm3


two | A geometry-optimized Tb3Dy3Mg structure, computed with GGA-PBE.

Unit cell a=9.408 b=9.408 c=5.613 alpha=90.00 beta=90.00 gamma=120.00
Atoms (fractional coordinates):
Tb 0.056 0.241 0.250
Tb 0.185 0.944 0.250
Tb 0.241 0.185 0.750
Tb 0.759 0.815 0.250
Tb 0.815 0.056 0.750
Tb 0.944 0.759 0.750
Dy 0.103 0.477 0.750
Dy 0.374 0.897 0.750
Dy 0.477 0.374 0.250
Dy 0.523 0.626 0.750
Dy 0.626 0.103 0.250
Dy 0.897 0.523 0.250
Mg 0.333 0.667 0.250
Mg 0.667 0.333 0.750

Calculated values
Total magnetic moment = 0.00 Bohr magnetons per cell
SG = P6_3/m, No. 176
Calculated density = 7.6 g/cm3


Stability summary - winner: two; margin: 82 meV/atom.